Below is a relaxed Al2Co3Si3O12 crystal, with properties calculated at the PBE with a Hubbard U level.

The space group is Ia-3d (No. 230) and the conventional cell measures 11.4426, 11.4426 and 11.4426 Å, with angles of 90.00, 90.00 and 90.00 degrees. The asymmetric unit holds Al at (0.0000, 0.0000, 0.0000), Co at (0.0000, 0.2500, 0.1250), Si at (0.0000, 0.2500, 0.3750) and O at (0.0336, 0.0528, 0.6526).

The calculated volume is 1498.23 Å³/cell. Its total DFT energy (no corrections) is -7.2263 eV/atom. The spin magnetization is 0.4499 μB/atom. The polymorph energy (0 for the lowest one) is 0.00 eV per formula unit.